Record 1
# Li3Ga2Au7

A relaxed Li3Ga2Au7 crystal (PBE, the Alexandria database).

```
Li3Ga2Au7
1.0
4.1996 0.0000 0.0000
0.0000 3.7684 0.0000
-1.8301 0.0000 14.4818
Li Ga Au
3 2 7
Cartesian
0.0000 0.0000 0.0000
0.1511 1.8842 8.7193
2.2184 1.8842 5.7626
0.0092 0.0000 3.9133
2.3602 0.0000 10.5686
0.0083 1.8842 2.0558
0.1393 0.0000 6.3637
0.2598 0.0000 12.2085
2.0998 1.8842 0.0000
2.1097 0.0000 2.2734
2.2302 0.0000 8.1182
2.3611 1.8842 12.4260
```

- Polymorph energy (0 for the lowest one): 7 meV/atom

***

Record 2
# Li3GaAu3

A relaxed Li3GaAu3 crystal (PBE, the Alexandria database).

```
Li3GaAu3
1.0
4.4100 -4.5415 0.0000
4.4100 4.5415 0.0000
0.0000 0.0000 6.0330
Li Ga Au
6 2 6
Cartesian
1.9917 0.0000 3.0165
2.1403 0.0000 0.0000
4.4100 2.2839 0.0000
4.4100 -2.2839 0.0000
6.6797 0.0000 0.0000
6.8282 0.0000 3.0165
4.4100 2.3441 3.0165
4.4100 -2.3441 3.0165
2.2050 2.2708 1.4668
2.2050 2.2708 4.5662
2.2050 -2.2708 1.4668
2.2050 -2.2708 4.5662
4.4100 0.0000 1.5121
4.4100 0.0000 4.5209
```

- Polymorph energy (0 for the lowest one): 0 meV/atom

***

Record 3
# LiGa2Au

A relaxed LiGa2Au crystal (PBE, the Alexandria database).

```
LiGa2Au
1.0
3.9928 0.0000 0.0000
0.0000 3.9928 0.0000
0.0000 0.0000 4.1197
Li Ga Au
1 2 1
Cartesian
0.0000 0.0000 0.0000
0.0000 1.9964 2.0598
1.9964 0.0000 2.0598
1.9964 1.9964 0.0000
```

- DFT total energy: -3.1279 eV/atom

***

Record 4
# LiGa2Au

A relaxed LiGa2Au crystal (PBE, the Alexandria database).

```
LiGa2Au
1.0
-2.2170 4.7556 7.4784
2.2170 -4.7556 7.4784
2.2170 4.7556 -7.4784
Li Ga Au
4 8 4
Cartesian
0.0000 1.8749 0.0000
0.0000 0.0000 3.0813
0.0000 0.0000 11.8755
0.0000 7.6364 0.0000
2.2170 0.0000 1.2309
2.2170 -1.2903 4.7192
0.0000 0.0000 6.2074
2.2170 1.2903 4.7192
0.0000 3.4653 2.7592
0.0000 0.0000 8.7493
0.0000 6.0459 2.7592
0.0000 4.7556 6.2474
2.2170 2.2837 -2.2379
2.2170 2.2837 2.2379
0.0000 2.4719 5.2405
0.0000 2.4719 9.7163
```

- DFT total energy: -3.0800 eV/atom

***

Record 5
# Li3GaAu

A relaxed Li3GaAu crystal (PBE, the Alexandria database).

```
Li3GaAu
1.0
4.6946 0.0000 0.0000
0.0000 5.1496 0.0000
-0.8354 0.0000 7.1403
Li Ga Au
6 2 2
Cartesian
0.5952 0.0370 1.2709
0.5952 2.5377 1.2709
0.7266 3.8622 3.7804
3.1325 1.2874 3.3600
3.2639 2.6118 5.8694
3.2639 5.1125 5.8694
0.8739 1.2874 5.3617
2.9852 3.8622 1.7787
0.9100 3.8622 6.3776
2.9491 1.2874 0.7627
```

- Polymorph energy (0 for the lowest one): 93 meV/atom

***

Record 6
# Li8Ga2Au

A relaxed Li8Ga2Au crystal (PBE, the Alexandria database).

```
Li8Ga2Au
1.0
-2.1762 3.2642 6.5003
2.1762 -3.2642 6.5003
2.1762 3.2642 -6.5003
Li Ga Au
8 2 1
Cartesian
2.1762 1.8080 -1.9487
0.0000 0.0000 2.0675
0.0000 1.8951 0.0000
2.1762 1.8080 1.9487
0.0000 1.4562 4.5516
0.0000 4.6333 0.0000
0.0000 0.0000 10.9330
0.0000 1.4562 8.4490
2.1762 0.0000 3.9603
0.0000 3.2642 2.5399
2.1762 0.0000 0.0000
```

- Polymorph energy (0 for the lowest one): 42 meV/atom

***

Record 7
# LiGa2Au7

A relaxed LiGa2Au7 crystal (PBE, the Alexandria database).

```
LiGa2Au7
1.0
3.7764 -6.4048 0.0000
3.7764 6.4048 0.0000
0.0000 0.0000 4.5225
Li Ga Au
1 2 7
Cartesian
0.0000 0.0000 0.0000
3.7764 2.5653 2.2613
3.7764 -2.5653 2.2613
1.4009 1.4353 2.2613
3.7764 3.7504 0.0000
1.4009 -1.4353 2.2613
3.7764 0.0000 2.2613
6.1520 1.4353 2.2613
3.7764 -3.7504 0.0000
6.1520 -1.4353 2.2613
```

- DFT total energy: -3.2077 eV/atom

***

Record 8
# LiGa3Au3

A relaxed LiGa3Au3 crystal (PBE, the Alexandria database).

```
LiGa3Au3
1.0
7.1608 0.0000 0.0000
0.0000 7.1608 0.0000
0.0000 0.0000 7.1608
Li Ga Au
2 6 6
Cartesian
0.0000 0.0000 0.0000
3.5804 3.5804 3.5804
0.0000 1.7902 3.5804
0.0000 5.3706 3.5804
1.7902 3.5804 0.0000
3.5804 0.0000 1.7902
3.5804 0.0000 5.3706
5.3706 3.5804 0.0000
0.0000 3.5804 1.7902
0.0000 3.5804 5.3706
1.7902 0.0000 3.5804
3.5804 1.7902 0.0000
3.5804 5.3706 0.0000
5.3706 0.0000 3.5804
```

- Polymorph energy (0 for the lowest one): 285 meV/atom

***

Record 9
# Li4Ga2Au5

A relaxed Li4Ga2Au5 crystal (PBE, the Alexandria database).

```
Li4Ga2Au5
1.0
6.8897 0.0000 0.0000
0.0000 2.9717 0.0000
-0.9446 0.0000 8.8907
Li Ga Au
4 2 5
Cartesian
0.8726 0.0000 3.5246
1.0702 0.0000 8.3050
4.8749 0.0000 0.5857
5.0725 0.0000 5.3661
0.3417 1.4859 1.2205
5.6034 1.4859 7.6702
0.5182 1.4859 5.8472
2.8632 1.4859 1.6234
2.9725 1.4859 4.4454
3.0819 1.4859 7.2673
5.4269 1.4859 3.0435
```

- Polymorph energy (0 for the lowest one): 59 meV/atom

***

Record 10
# Li3Ga3Au2

A relaxed Li3Ga3Au2 crystal (PBE, the Alexandria database).

```
Li3Ga3Au2
1.0
2.2409 -4.7960 0.0000
2.2409 4.7960 0.0000
0.0000 0.0000 12.5936
Li Ga Au
6 6 4
Cartesian
2.2409 3.9964 7.4377
2.2409 3.9964 11.4528
2.2409 2.0792 9.4452
2.2409 -2.0792 3.1484
2.2409 -3.9964 1.1409
2.2409 -3.9964 5.1560
2.2409 1.0332 7.0294
2.2409 1.0332 11.8611
2.2409 0.5878 3.1484
2.2409 -0.5878 9.4452
2.2409 -1.0332 0.7325
2.2409 -1.0332 5.5643
2.2409 2.6759 1.5115
2.2409 2.6759 4.7853
2.2409 -2.6759 7.8084
2.2409 -2.6759 11.0821
```

- DFT total energy: -3.0586 eV/atom

***

Record 11
# LiGa4Au5

A relaxed LiGa4Au5 crystal (PBE, the Alexandria database).

```
LiGa4Au5
1.0
-4.3423 4.3423 2.5433
4.3423 -4.3423 2.5433
4.3423 4.3423 -2.5433
Li Ga Au
1 4 5
Cartesian
0.0000 0.0000 0.0000
3.0930 2.0226 0.0407
2.3197 -1.2493 2.5839
2.0226 5.5916 0.0407
1.2493 2.3197 2.5839
5.6980 0.6590 0.0399
0.6590 2.9866 0.0399
0.0000 0.0000 2.5458
3.6833 1.3557 2.5831
-1.3557 3.6833 2.5831
```

- DFT total energy: -3.2632 eV/atom

***

Record 12
# Li7GaAu3

A relaxed Li7GaAu3 crystal (PBE, the Alexandria database).

```
Li7GaAu3
1.0
1.4249 -10.6063 0.0000
1.4249 10.6063 0.0000
0.0000 0.0000 12.3874
Li Ga Au
14 2 6
Cartesian
1.4249 9.4502 7.7837
1.4249 9.4502 10.7975
1.4249 8.6529 1.1398
1.4249 8.6529 5.0539
1.4249 6.5916 9.2906
1.4249 5.9362 1.1831
1.4249 5.9362 5.0106
1.4249 -5.9362 7.3768
1.4249 -5.9362 11.2043
1.4249 -6.5916 3.0969
1.4249 -8.6529 7.3335
1.4249 -8.6529 11.2476
1.4249 -9.4502 1.5899
1.4249 -9.4502 4.6038
1.4249 0.6604 9.2906
1.4249 -0.6604 3.0969
1.4249 3.3834 9.2906
1.4249 3.3047 0.7847
1.4249 3.3047 5.4090
1.4249 -3.3047 6.9785
1.4249 -3.3047 11.6027
1.4249 -3.3834 3.0969
```

- DFT total energy: -2.7781 eV/atom

***

Record 13
# LiGa3Au

A relaxed LiGa3Au crystal (PBE, the Alexandria database).

```
LiGa3Au
1.0
5.1314 0.0000 0.0000
0.0000 5.5876 0.0000
-2.3059 0.0000 6.3154
Li Ga Au
2 6 2
Cartesian
-0.3095 1.3969 2.3821
3.1349 4.1907 3.9333
-1.8265 1.3969 5.9095
0.5241 0.0178 5.0249
0.5241 2.7761 5.0249
2.3014 2.8116 1.2905
2.3014 5.5699 1.2905
4.6519 4.1907 0.4058
0.5324 4.1907 2.8123
2.2930 1.3969 3.5030
```

- Polymorph energy (0 for the lowest one): 0 meV/atom

***

Record 14
# LiGa3Au6

A relaxed LiGa3Au6 crystal (PBE, the Alexandria database).

```
LiGa3Au6
1.0
4.2682 -6.5255 0.0000
4.2682 6.5255 0.0000
0.0000 0.0000 6.7386
Li Ga Au
2 6 12
Cartesian
4.2682 4.2053 3.3693
4.2682 -4.2053 0.0000
1.7932 1.2126 3.4118
1.7932 -1.2126 0.0425
4.2682 0.8600 5.4242
4.2682 -0.8600 2.0549
6.7432 1.2126 3.4118
6.7432 -1.2126 0.0425
4.2682 6.3867 4.9007
2.6634 2.9433 5.2225
4.2682 3.5408 0.8408
2.7509 1.0622 0.9573
2.7509 -1.0622 4.3266
5.8730 2.9433 5.2225
2.6634 -2.9433 1.8532
5.7855 1.0622 0.9573
5.7855 -1.0622 4.3266
4.2682 -3.5408 4.2101
5.8730 -2.9433 1.8532
4.2682 -6.3867 1.5314
```

- Polymorph energy (0 for the lowest one): 15 meV/atom

***

Record 15
# Li8GaAu2

A relaxed Li8GaAu2 crystal (PBE, the Alexandria database).

```
Li8GaAu2
1.0
4.0317 -5.4546 0.0000
4.0317 5.4546 0.0000
-0.0076 0.0000 4.3663
Li Ga Au
8 1 2
Cartesian
1.3342 1.4505 2.1867
4.0317 2.7626 0.0000
1.3342 -1.4505 2.1867
2.6849 0.0000 0.0039
5.3710 0.0000 4.3624
6.7216 1.4505 2.1796
4.0317 -2.7626 0.0000
6.7216 -1.4505 2.1796
0.0000 0.0000 0.0000
4.0279 1.3891 2.1832
4.0279 -1.3891 2.1832
```

- Polymorph energy (0 for the lowest one): 25 meV/atom

***

Record 16
# LiMgGaAu2

A relaxed LiMgGaAu2 crystal (PBE, the Alexandria database).

```
LiMgGaAu2
1.0
6.2115 0.0000 0.0000
0.0000 4.1834 0.0000
-0.5735 0.0000 6.5972
Li Mg Ga Au
2 2 2 4
Cartesian
1.0486 1.0458 0.3745
4.5895 3.1375 6.2227
1.1477 3.1375 5.0291
4.4904 1.0458 1.5681
1.7278 1.0458 2.9560
3.9103 3.1375 3.6411
0.0207 3.1375 2.1524
2.7043 3.1375 1.0828
2.9338 1.0458 5.5143
5.6173 1.0458 4.4448
```

- DFT total energy: -3.0470 eV/atom

***

Record 17
# LiMgGa2Au4

A relaxed LiMgGa2Au4 crystal (PBE, the Alexandria database).

```
LiMgGa2Au4
1.0
2.2761 1.3141 7.5364
-2.2761 1.3141 7.5364
0.0000 -2.6282 7.5364
Li Mg Ga Au
1 1 2 4
Cartesian
0.0000 0.0000 0.0000
0.0000 0.0000 11.3046
0.0000 0.0000 5.7147
0.0000 0.0000 16.8946
0.0000 0.0000 2.7480
0.0000 0.0000 8.4665
0.0000 0.0000 14.1428
0.0000 0.0000 19.8613
```

- DFT total energy: -3.2413 eV/atom

***

Record 18
# Li2MgGaAu

A relaxed Li2MgGaAu crystal (PBE, the Alexandria database).

```
Li2MgGaAu
1.0
4.7937 0.0000 0.0000
0.0000 4.7937 0.0000
0.0000 0.0000 5.1417
Li Mg Ga Au
2 1 1 1
Cartesian
0.0000 2.3969 0.0000
2.3969 0.0000 0.0000
0.0000 0.0000 2.5708
2.3969 2.3969 2.5708
0.0000 0.0000 0.0000
```

- DFT total energy: -2.3969 eV/atom

***

Record 19
# Li2MgGaAu4

A relaxed Li2MgGaAu4 crystal (PBE, the Alexandria database).

```
Li2MgGaAu4
1.0
2.2632 1.3067 7.3734
-2.2632 1.3067 7.3734
0.0000 -2.6134 7.3734
Li Mg Ga Au
2 1 1 4
Cartesian
0.0000 0.0000 5.5061
0.0000 0.0000 16.6142
0.0000 0.0000 11.0601
0.0000 0.0000 0.0000
0.0000 0.0000 2.7044
0.0000 0.0000 8.2695
0.0000 0.0000 13.8508
0.0000 0.0000 19.4159
```

- DFT total energy: -3.1958 eV/atom

***

Record 20
# Li2MgGaAu2

A relaxed Li2MgGaAu2 crystal (PBE, the Alexandria database).

```
Li2MgGaAu2
1.0
4.4649 0.0000 0.0000
0.0000 8.4130 0.0000
0.0000 0.0000 5.4417
Li Mg Ga Au
4 2 2 4
Cartesian
0.0000 0.7498 0.0000
0.0000 7.6632 2.7209
2.2325 1.8655 1.3276
2.2325 6.5475 4.0484
2.2325 3.4446 4.4174
2.2325 4.9684 1.6965
0.0000 2.0509 2.9643
0.0000 6.3621 0.2434
0.0000 3.4787 0.7482
0.0000 4.9343 3.4691
2.2325 0.7920 3.7326
2.2325 7.6210 1.0118
```

- DFT total energy: -2.9634 eV/atom

***

DOS(E_F): 2.8; 5.5; 1.4; 4.8; 2.4; 4.8; 3.4; 2.6; 4.4; 3.1; 3.3; 7.4; 2.2; 6.4; 3.5; 2.5; 3.3; 2.0; 3.4; 3.1 (states/eV per cell)